TbBRu2: relaxed, PBE-GGA.

The structure in extended XYZ format:
```
12
Lattice="3.331 0.000 0.000 -1.666 2.885 0.000 0.000 0.000 19.893" Properties=species:S:1:pos:R:3 pbc="T T T"
Tb 0.000 0.000 0.000
Tb 0.000 1.923 13.262
Tb 1.666 0.962 6.631
B 0.000 0.000 9.946
B 0.000 1.923 3.315
B 1.666 0.962 16.577
Ru 0.000 0.000 4.320
Ru 0.000 0.000 15.572
Ru 0.000 1.923 8.942
Ru 0.000 1.923 17.582
Ru 1.666 0.962 2.311
Ru 1.666 0.962 10.951
```

Values from the calculation:
Symmetry ... R-3m, No. 166
Total magnetization ... 0.01 μB/cell
Calculated total energy ... -7.534 eV/atom
Energy relative to the elements ... -0.0688 eV/atom


Tb2B2Ru: relaxed, PBE-GGA.

The structure in extended XYZ format:
```
10
Lattice="4.589 -2.561 0.000 4.589 2.561 0.000 -1.387 0.000 7.157" Properties=species:S:1:pos:R:3 pbc="T T T"
Tb 1.242 0.447 1.069
Tb 0.548 -0.447 4.648
Tb 7.243 0.447 2.509
Tb 6.549 -0.447 6.088
B 3.108 0.430 3.607
B 3.801 -0.430 0.029
B 3.989 0.430 7.128
B 4.683 -0.430 3.550
Ru 4.242 0.627 1.789
Ru 3.549 -0.627 5.368
```

Values from the calculation:
Symmetry ... C2/c, No. 15
Total magnetization ... 0.00 μB/cell
Calculated total energy ... -6.747 eV/atom
Energy relative to the elements ... -0.3689 eV/atom


TbB4Ru4: relaxed, PBE-GGA.

The structure in extended XYZ format:
```
18
Lattice="7.459 0.000 0.000 0.000 7.459 0.000 0.000 0.000 4.048" Properties=species:S:1:pos:R:3 pbc="T T T"
Tb 1.865 1.865 1.012
Tb 5.594 5.594 3.036
B 0.315 6.845 0.559
B 0.614 4.045 2.583
B 3.115 7.143 2.583
B 3.414 4.343 0.559
B 4.045 3.115 3.489
B 4.343 0.315 1.465
B 6.845 3.414 1.465
B 7.143 0.614 3.489
Ru 0.790 4.772 0.557
Ru 1.042 6.669 2.581
Ru 2.687 4.519 2.581
Ru 2.939 6.416 0.557
Ru 4.519 1.042 3.490
Ru 4.772 2.939 1.467
Ru 6.416 0.790 1.467
Ru 6.669 2.687 3.490
```

Values from the calculation:
Symmetry ... P4_2/n, No. 86
Total magnetization ... 0.00 μB/cell
Calculated total energy ... -8.081 eV/atom
Energy relative to the elements ... -0.4762 eV/atom


Tb2BRu2: relaxed, PBE-GGA.

The structure in extended XYZ format:
```
10
Lattice="5.463 -2.786 0.000 5.463 2.786 0.000 -1.361 0.000 5.959" Properties=species:S:1:pos:R:3 pbc="T T T"
Tb 2.762 2.011 5.291
Tb 6.122 2.011 3.648
Tb 3.443 -2.011 2.311
Tb 6.802 -2.011 0.669
B 5.123 0.277 1.490
B 4.442 -0.277 4.470
Ru 3.476 0.688 2.793
Ru 2.795 -0.688 5.773
Ru 6.770 0.688 0.187
Ru 6.089 -0.688 3.166
```

Values from the calculation:
Symmetry ... C2/c, No. 15
Total magnetization ... 0.00 μB/cell
Calculated total energy ... -7.246 eV/atom
Energy relative to the elements ... -0.3480 eV/atom


TbB4Ru4: relaxed, PBE-GGA.

The structure in extended XYZ format:
```
36
Lattice="-3.750 3.750 7.531 3.750 -3.750 7.531 3.750 3.750 -7.531" Properties=species:S:1:pos:R:3 pbc="T T T"
Tb 3.750 1.875 -1.883
Tb 0.000 1.875 1.883
Tb 3.750 1.875 5.648
Tb 0.000 1.875 9.413
B 1.260 0.819 -0.652
B 1.056 -0.615 3.113
B 2.491 0.819 0.652
B 4.807 -0.615 4.418
B 4.807 0.615 3.113
B 2.491 -0.819 6.878
B 1.056 0.615 4.418
B 1.260 -0.819 8.183
B 2.491 4.569 -0.652
B 2.694 3.135 3.113
B 1.260 4.569 0.652
B -1.056 3.135 4.418
B -1.056 4.366 3.113
B 1.260 2.931 6.878
B 2.694 4.366 4.418
B 2.491 2.931 8.183
Ru 6.635 0.767 -0.952
Ru 2.642 2.741 -4.717
Ru 4.616 0.767 0.952
Ru 2.642 -1.010 4.717
Ru 2.642 1.010 2.813
Ru 0.866 2.984 -0.952
Ru 2.642 4.760 -2.813
Ru 2.885 2.984 0.952
Ru 0.866 0.767 6.578
Ru 1.109 -1.010 10.344
Ru 2.885 0.767 8.483
Ru 1.109 2.741 4.717
Ru 1.109 4.760 2.813
Ru -0.866 2.984 6.578
Ru 1.109 1.010 12.248
Ru -2.885 2.984 8.483
```

Values from the calculation:
Symmetry ... I4_1/acd, No. 142
Total magnetization ... 0.00 μB/cell
Calculated total energy ... -8.099 eV/atom
Energy relative to the elements ... -0.4946 eV/atom


TbB2Ru3: relaxed, PBE-GGA.

The structure in extended XYZ format:
```
6
Lattice="5.529 0.000 0.000 -2.764 4.788 0.000 0.000 0.000 3.025" Properties=species:S:1:pos:R:3 pbc="T T T"
Tb 0.000 0.000 0.000
B 0.000 3.192 0.000
B 2.764 1.596 0.000
Ru -1.382 2.394 1.513
Ru 2.764 0.000 1.513
Ru 1.382 2.394 1.513
```

Values from the calculation:
Symmetry ... P6/mmm, No. 191
Total magnetization ... 0.00 μB/cell
Calculated total energy ... -8.098 eV/atom
Energy relative to the elements ... -0.4624 eV/atom


TbB3Ru2: relaxed, PBE-GGA.

The structure in extended XYZ format:
```
12
Lattice="4.308 -2.998 0.000 4.308 2.998 0.000 0.000 0.000 5.521" Properties=species:S:1:pos:R:3 pbc="T T T"
Tb 4.308 1.999 4.141
Tb 4.308 -1.999 1.380
B 2.845 1.768 1.380
B 4.308 0.815 1.380
B 5.772 1.768 1.380
B 2.845 -1.768 4.141
B 4.308 -0.815 4.141
B 5.772 -1.768 4.141
Ru 2.590 0.000 0.000
Ru 2.590 0.000 2.761
Ru 6.027 0.000 0.000
Ru 6.027 0.000 2.761
```

Values from the calculation:
Symmetry ... Cmcm, No. 63
Total magnetization ... 0.00 μB/cell
Calculated total energy ... -7.698 eV/atom
Energy relative to the elements ... -0.4956 eV/atom


TbB4Ru4: relaxed, PBE-GGA.

The structure in extended XYZ format:
```
18
Lattice="5.374 0.000 0.000 0.000 5.374 0.000 0.000 0.000 7.364" Properties=species:S:1:pos:R:3 pbc="T T T"
Tb 1.343 4.030 1.841
Tb 4.030 1.343 5.523
B 0.420 1.343 0.731
B 1.343 0.420 4.413
B 1.343 2.267 4.413
B 2.267 1.343 0.731
B 3.106 4.030 6.633
B 4.030 3.106 2.951
B 4.030 4.954 2.951
B 4.954 4.030 6.633
Ru 0.027 4.030 4.501
Ru 1.343 2.714 6.546
Ru 1.343 5.347 6.546
Ru 2.660 4.030 4.501
Ru 2.714 1.343 2.863
Ru 4.030 0.027 0.819
Ru 4.030 2.660 0.819
Ru 5.347 1.343 2.863
```

Values from the calculation:
Symmetry ... P4_2/nmc, No. 137
Total magnetization ... 0.00 μB/cell
Calculated total energy ... -8.055 eV/atom
Energy relative to the elements ... -0.4499 eV/atom


TbB3Ru: relaxed, PBE-GGA.

The structure in extended XYZ format:
```
10
Lattice="1.611 -7.272 0.000 1.611 7.272 0.000 0.000 0.000 4.898" Properties=species:S:1:pos:R:3 pbc="T T T"
Tb 1.611 5.944 3.674
Tb 1.611 -5.944 1.225
B 1.611 4.547 1.225
B 1.611 3.157 0.170
B 1.611 3.157 2.279
B 1.611 -3.157 2.619
B 1.611 -3.157 4.728
B 1.611 -4.547 3.674
Ru 1.611 1.272 3.674
Ru 1.611 -1.272 1.225
```

Values from the calculation:
Symmetry ... Cmcm, No. 63
Total magnetization ... 0.00 μB/cell
Calculated total energy ... -6.917 eV/atom
Energy relative to the elements ... -0.1288 eV/atom


Tb2BRu3: relaxed, PBE-GGA.

The structure in extended XYZ format:
```
12
Lattice="3.198 0.000 0.000 0.000 4.966 0.000 0.000 0.000 13.121" Properties=species:S:1:pos:R:3 pbc="T T T"
Tb 0.000 0.000 2.427
Tb 0.000 0.000 10.693
Tb 1.599 2.483 4.133
Tb 1.599 2.483 8.988
B 0.000 0.000 6.560
B 1.599 2.483 0.000
Ru 0.000 2.483 1.398
Ru 0.000 2.483 6.560
Ru 0.000 2.483 11.722
Ru 1.599 0.000 0.000
Ru 1.599 0.000 5.162
Ru 1.599 0.000 7.959
```

Values from the calculation:
Symmetry ... Immm, No. 71
Total magnetization ... 0.78 μB/cell
Calculated total energy ... -7.206 eV/atom
Energy relative to the elements ... 0.0881 eV/atom


TbB2Ru3: relaxed, PBE-GGA.

The structure in extended XYZ format:
```
18
Lattice="8.835 0.000 0.000 -4.417 7.651 0.000 0.000 0.000 3.584" Properties=species:S:1:pos:R:3 pbc="T T T"
Tb 0.000 0.000 0.000
Tb 0.000 5.101 1.792
Tb 4.417 2.550 1.792
B 0.000 2.942 0.000
B -1.870 6.180 0.000
B 2.547 1.471 0.000
B 1.870 6.180 0.000
B 6.287 1.471 0.000
B 4.417 4.710 0.000
Ru -1.254 2.173 1.792
Ru -2.209 3.826 0.000
Ru -3.163 5.478 1.792
Ru 2.509 0.000 1.792
Ru 1.254 2.173 1.792
Ru 4.417 0.000 0.000
Ru 2.209 3.826 0.000
Ru 6.326 0.000 1.792
Ru 3.163 5.478 1.792
```

Values from the calculation:
Symmetry ... P6/mmm, No. 191
Total magnetization ... 0.00 μB/cell
Calculated total energy ... -7.877 eV/atom
Energy relative to the elements ... -0.2415 eV/atom


Tb3B4Ru4: relaxed, PBE-GGA.

The structure in extended XYZ format:
```
11
Lattice="3.387 0.000 0.000 -0.005 4.311 0.000 -1.690 -1.173 11.244" Properties=species:S:1:pos:R:3 pbc="T T T"
Tb 0.000 0.000 0.000
Tb -0.001 3.092 7.917
Tb 1.693 0.046 3.327
B -0.005 2.242 2.577
B -0.002 0.030 5.463
B 1.694 3.109 5.781
B 1.696 0.896 8.667
Ru -0.001 2.219 4.723
Ru 0.003 0.951 9.890
Ru 1.689 2.187 1.355
Ru 1.693 0.919 6.522
```

Values from the calculation:
Symmetry ... P-1, No. 2
Total magnetization ... 0.00 μB/cell
Calculated total energy ... -7.484 eV/atom
Energy relative to the elements ... -0.4196 eV/atom


TbBRu2: relaxed, PBE-GGA.

The structure in extended XYZ format:
```
16
Lattice="5.944 0.000 0.000 0.000 4.248 0.000 0.000 0.000 9.677" Properties=species:S:1:pos:R:3 pbc="T T T"
Tb 0.546 1.062 1.147
Tb 2.426 3.186 5.985
Tb 3.518 1.062 3.691
Tb 5.397 3.186 8.530
B 0.773 3.186 3.920
B 2.199 1.062 8.759
B 3.745 3.186 0.918
B 5.171 1.062 5.756
Ru 0.514 1.062 4.069
Ru 0.905 1.062 7.138
Ru 2.067 3.186 2.300
Ru 2.458 3.186 8.908
Ru 3.486 1.062 0.769
Ru 3.877 1.062 7.377
Ru 5.039 3.186 2.539
Ru 5.430 3.186 5.608
```

Values from the calculation:
Symmetry ... Pnma, No. 62
Total magnetization ... 0.00 μB/cell
Calculated total energy ... -7.905 eV/atom
Energy relative to the elements ... -0.4405 eV/atom


Tb2B3Ru2: relaxed, PBE-GGA.

The structure in extended XYZ format:
```
14
Lattice="10.783 0.000 0.000 0.000 3.690 0.000 -3.079 0.000 5.009" Properties=species:S:1:pos:R:3 pbc="T T T"
Tb 0.478 0.000 1.377
Tb 1.835 1.845 3.632
Tb 5.870 1.845 1.377
Tb 7.227 0.000 3.632
B -1.539 1.845 2.504
B -1.573 1.845 4.335
B 3.886 0.000 0.673
B 3.852 0.000 2.504
B 3.819 0.000 4.335
B 9.278 1.845 0.673
Ru -0.652 0.000 3.989
Ru 2.965 1.845 1.019
Ru 4.740 1.845 3.989
Ru 8.357 0.000 1.019
```

Values from the calculation:
Symmetry ... C2/m, No. 12
Total magnetization ... 0.00 μB/cell
Calculated total energy ... -7.108 eV/atom
Energy relative to the elements ... -0.2735 eV/atom


Tb3B8Ru3: relaxed, PBE-GGA.

The structure in extended XYZ format:
```
14
Lattice="-1.642 4.686 5.409 1.642 -4.686 5.409 1.642 4.686 -5.409" Properties=species:S:1:pos:R:3 pbc="T T T"
Tb 0.000 0.000 0.000
Tb 0.000 0.000 3.147
Tb 0.000 0.000 7.671
B 1.642 1.944 -2.127
B 1.642 -1.952 3.897
B 1.642 1.944 2.127
B 0.000 2.733 1.512
B 1.642 1.952 3.897
B 0.000 2.741 3.281
B 0.000 6.638 1.512
B 0.000 2.741 7.536
Ru 1.642 2.427 0.000
Ru 0.000 4.686 0.000
Ru 0.000 2.258 5.409
```

Values from the calculation:
Symmetry ... Immm, No. 71
Total magnetization ... 0.00 μB/cell
Calculated total energy ... -6.999 eV/atom
Energy relative to the elements ... -0.2034 eV/atom


Tb2VB2Ru5: relaxed, PBE-GGA.

The structure in extended XYZ format:
```
20
Lattice="9.588 0.000 0.000 0.000 9.588 0.000 0.000 0.000 3.089" Properties=species:S:1:pos:R:3 pbc="T T T"
Tb 1.682 3.112 0.000
Tb 3.112 7.906 0.000
Tb 6.476 1.682 0.000
Tb 7.906 6.476 0.000
V 0.000 0.000 0.000
V 4.794 4.794 0.000
B 1.170 5.964 0.000
B 3.624 1.170 0.000
B 5.964 8.418 0.000
B 8.418 3.624 0.000
Ru 0.000 4.794 1.544
Ru 0.664 7.544 1.544
Ru 2.044 0.664 1.544
Ru 2.750 5.458 1.544
Ru 4.130 2.750 1.544
Ru 4.794 0.000 1.544
Ru 5.458 6.838 1.544
Ru 6.838 4.130 1.544
Ru 7.544 8.924 1.544
Ru 8.924 2.044 1.544
```

Values from the calculation:
Symmetry ... P4/mbm, No. 127
Total magnetization ... 0.00 μB/cell
Calculated total energy ... -8.247 eV/atom
Energy relative to the elements ... -0.4352 eV/atom


TbZn2BRu2: relaxed, PBE-GGA.

The structure in extended XYZ format:
```
6
Lattice="4.199 0.000 0.000 0.000 4.199 0.000 0.000 0.000 5.373" Properties=species:S:1:pos:R:3 pbc="T T T"
Tb 0.000 0.000 0.000
Zn 2.099 2.099 1.218
Zn 2.099 2.099 4.155
B 0.000 0.000 2.687
Ru 0.000 2.099 2.687
Ru 2.099 0.000 2.687
```

Values from the calculation:
Symmetry ... P4/mmm, No. 123
Total magnetization ... 0.00 μB/cell
Calculated total energy ... -5.776 eV/atom
Energy relative to the elements ... -0.3744 eV/atom


Tb3Zn2BRu3: relaxed, PBE-GGA.

The structure in extended XYZ format:
```
9
Lattice="7.283 0.000 0.000 -3.641 6.307 0.000 0.000 0.000 3.452" Properties=species:S:1:pos:R:3 pbc="T T T"
Tb -2.324 4.026 0.000
Tb 1.317 2.281 0.000
Tb 4.649 0.000 0.000
Zn 0.000 4.205 1.726
Zn 3.641 2.102 1.726
B 0.000 0.000 0.000
Ru -0.823 1.426 1.726
Ru 1.646 0.000 1.726
Ru 2.818 4.881 1.726
```

Values from the calculation:
Symmetry ... P-62m, No. 189
Total magnetization ... 0.00 μB/cell
Calculated total energy ... -5.973 eV/atom
Energy relative to the elements ... -0.3123 eV/atom


Tc2B2Ru: relaxed, PBE-GGA.

The structure in extended XYZ format:
```
20
Lattice="5.740 0.000 0.000 0.000 5.740 0.000 0.000 0.000 6.587" Properties=species:S:1:pos:R:3 pbc="T T T"
Tc 0.852 1.703 0.000
Tc 1.167 2.018 3.294
Tc 1.703 4.888 0.000
Tc 2.018 4.573 3.294
Tc 3.722 1.167 3.294
Tc 4.037 0.852 0.000
Tc 4.573 3.722 3.294
Tc 4.888 4.037 0.000
B 0.648 3.518 1.647
B 0.648 3.518 4.940
B 2.221 0.648 1.647
B 2.221 0.648 4.940
B 3.518 5.091 1.647
B 3.518 5.091 4.940
B 5.091 2.221 1.647
B 5.091 2.221 4.940
Ru 0.000 0.000 1.939
Ru 0.000 0.000 4.648
Ru 2.870 2.870 1.354
Ru 2.870 2.870 5.233
```

Values from the calculation:
Symmetry ... P4/mnc, No. 128
Total magnetization ... 0.00 μB/cell
Calculated total energy ... -8.885 eV/atom
Energy relative to the elements ... -0.2126 eV/atom


Tc4B2Ru: relaxed, PBE-GGA.

The structure in extended XYZ format:
```
14
Lattice="3.751 0.000 0.000 0.000 12.538 0.000 0.000 0.000 3.761" Properties=species:S:1:pos:R:3 pbc="T T T"
Tc 0.000 2.147 0.000
Tc 0.000 4.097 1.880
Tc 0.000 8.440 1.880
Tc 0.000 10.391 0.000
Tc 1.876 2.171 1.880
Tc 1.876 4.122 0.000
Tc 1.876 8.416 0.000
Tc 1.876 10.366 1.880
B 0.000 5.399 0.000
B 0.000 7.139 0.000
B 1.876 0.870 0.000
B 1.876 11.668 0.000
Ru 0.000 0.000 1.880
Ru 1.876 6.269 1.880
```

Values from the calculation:
Symmetry ... Cmmm, No. 65
Total magnetization ... 0.39 μB/cell
Calculated total energy ... -8.870 eV/atom
Energy relative to the elements ... 0.2862 eV/atom